Computed, not measured: C4Se5 after structural relaxation at the PBE level of DFT.

abc: 7.2037 7.2037 7.2037
angles: 93.42 93.42 151.71
With the nearest neighbours (Å) after each atom.
Sites, in units of the cell vectors:
C 0.4316 0.0000 0.4316  1 C 1.35
C 0.5684 0.0000 0.5684  1 C 1.35
C 0.0000 0.5684 0.5684  1 C 1.35
C 0.0000 0.4316 0.4316  1 C 1.35
Se 0.0000 0.0000 0.0000  10 Se 3.18-3.52
Se 0.6896 0.3104 0.0000  2 Se 2.44
Se 0.3104 0.6896 0.0000  2 Se 2.44
Se 0.3104 0.3104 0.6208  2 Se 2.44
Se 0.6896 0.6896 0.3792  2 Se 2.44

**Raw formation energy**: 1.74 eV per atom
**Symmetry**: No. 139